A:
The following is a PBE calculation of crystalline Ba2Ni2Au at its relaxed geometry, from the Alexandria database.

Properties
Magnetization   0.00 μB/f.u.
V   25.71 Å³ per atom

Cell and atoms, written as POSCAR:
```
Ba2Ni2Au
1.0
-1.849 1.849 9.398
1.849 -1.849 9.398
1.849 1.849 -9.398
Ba Ni Au
2 2 1
direct
0.118 0.118 0.000
0.882 0.882 0.000
0.250 0.750 0.500
0.750 0.250 0.500
0.500 0.500 0.000
```

B:
The following is a PBE calculation of crystalline Ba2Ni2Au at its relaxed geometry, from the Alexandria database.

Properties
Magnetization   0.00 μB/f.u.
V   25.68 Å³ per atom

Cell and atoms, written as POSCAR:
```
Ba2Ni2Au
1.0
7.641 0.000 0.000
0.000 7.641 0.000
0.000 0.000 4.398
Ba Ni Au
4 4 2
direct
0.187 0.313 0.000
0.313 0.813 0.000
0.687 0.187 0.000
0.813 0.687 0.000
0.108 0.608 0.500
0.392 0.108 0.500
0.608 0.892 0.500
0.892 0.392 0.500
0.000 0.000 0.500
0.500 0.500 0.500
```

C:
The following is a PBE calculation of crystalline Ba2Ni2Au at its relaxed geometry, from the Alexandria database.

Properties
Magnetization   0.00 μB/f.u.
V   27.23 Å³ per atom

Cell and atoms, written as POSCAR:
```
Ba2Ni2Au
1.0
-3.000 3.000 3.783
3.000 -3.000 3.783
3.000 3.000 -3.783
Ba Ni Au
2 2 1
direct
0.250 0.750 0.500
0.750 0.250 0.500
0.156 0.156 0.000
0.844 0.844 0.000
0.500 0.500 0.000
```

Most stable: B

A:
The following is a PBE calculation of crystalline Ba2AuO2 at its relaxed geometry, from the Alexandria database.

Properties
Magnetization   0.00 μB/f.u.
V   21.11 Å³ per atom

Cell and atoms, written as POSCAR:
```
Ba2AuO2
1.0
7.684 0.000 0.000
0.000 7.684 0.000
0.000 0.000 3.576
Ba Au O
4 2 4
direct
0.160 0.340 0.000
0.340 0.840 0.000
0.660 0.160 0.000
0.840 0.660 0.000
0.000 0.000 0.500
0.500 0.500 0.500
0.157 0.657 0.500
0.343 0.157 0.500
0.657 0.843 0.500
0.843 0.343 0.500
```

B:
The following is a PBE calculation of crystalline Ba2AuO2 at its relaxed geometry, from the Alexandria database.

Properties
Magnetization   0.00 μB/f.u.
V   28.07 Å³ per atom

Cell and atoms, written as POSCAR:
```
Ba2AuO2
1.0
-2.708 2.708 4.785
2.708 -2.708 4.785
2.708 2.708 -4.785
Ba Au O
2 1 2
direct
0.250 0.750 0.500
0.750 0.250 0.500
0.000 0.000 0.000
0.217 0.217 0.000
0.783 0.783 0.000
```

Most stable: B

A:
The following is a PBE calculation of crystalline BaAuO at its relaxed geometry, from the Alexandria database.

Properties
Magnetization   0.00 μB/f.u.
V   21.64 Å³ per atom

Cell and atoms, written as POSCAR:
```
BaAuO
1.0
3.846 0.000 0.000
0.000 3.846 0.000
0.000 0.000 8.776
Ba Au O
2 2 2
direct
0.250 0.250 0.166
0.750 0.750 0.834
0.250 0.250 0.555
0.750 0.750 0.445
0.250 0.250 0.858
0.750 0.750 0.142
```

B:
The following is a PBE calculation of crystalline BaAuO at its relaxed geometry, from the Alexandria database.

Properties
Magnetization   0.00 μB/f.u.
V   24.76 Å³ per atom

Cell and atoms, written as POSCAR:
```
BaAuO
1.0
-2.459 5.362 2.817
2.459 -5.362 2.817
2.459 5.362 -2.817
Ba Au O
2 2 2
direct
0.211 0.000 0.211
0.789 0.000 0.789
0.495 0.495 0.000
0.818 0.318 0.500
0.292 0.485 0.807
0.677 0.485 0.193
```

Most stable: A